Record 1
## TlB2SeCl (PBE-GGA)

Data for crystalline TlB2SeCl at its relaxed geometry.

abc: 4.7146 5.1594 4.7146
angles: 90.00 90.00 90.00
Last column: nearest neighbours and their distance in Å.
Atoms (fractional coordinates):
Tl: 0.5000 0.5000 0.5000  4 Se 3.33, 8 B 3.49
B: 0.0000 0.0000 0.5000  2 Cl 2.36
B: 0.5000 0.0000 0.0000  2 Cl 2.36
Se: 0.0000 0.5000 0.0000  2 Cl 2.58
Cl: 0.0000 0.0000 0.0000  4 B 2.36, 2 Se 2.58

Summary:
As for the uncorrected formation energy: 1762 meV per atom. Its crystal system is tetragonal.



Record 2
## PmNd5Bi4 (PBE-GGA)

Data for crystalline PmNd5Bi4 at its relaxed geometry.

abc: 4.5232 8.8301 10.0653
angles: 105.63 102.98 90.00
Last column: nearest neighbours and their distance in Å.
Atoms (fractional coordinates):
Pm: 0.5000 0.0000 0.0000  6 Bi 3.17-3.20
Nd: 0.8222 0.6489 0.6445  3 Bi 3.19-3.22
Nd: 0.8376 0.1773 0.6751  4 Bi 3.17-3.24
Nd: 0.1624 0.8227 0.3249  4 Bi 3.17-3.24
Nd: 0.5000 0.5000 0.0000  4 Bi 3.16
Nd: 0.1778 0.3511 0.3555  3 Bi 3.19-3.22
Bi: 0.3305 0.9124 0.6610  5 Nd 3.17-3.23, 1 Pm 3.20
Bi: 0.9912 0.7435 0.9823  4 Nd 3.16-3.24, 2 Pm 3.17
Bi: 0.6695 0.0876 0.3390  5 Nd 3.17-3.23, 1 Pm 3.20
Bi: 0.0088 0.2565 0.0177  4 Nd 3.16-3.24, 2 Pm 3.17

Summary:
As for the total DFT energy (no corrections): -49.8 eV per cell. Its crystal system is monoclinic.



Record 3
## EuCdPb (PBE-GGA)

Data for crystalline EuCdPb at its relaxed geometry.

abc: 3.7689 3.7689 6.8088
angles: 106.07 106.07 90.00
Last column: nearest neighbours and their distance in Å.
Atoms (fractional coordinates):
Pb: 0.6045 0.6045 0.2089  4 Cd 3.25, 4 Eu 3.53
Eu: 0.2889 0.2889 0.5777  4 Cd 3.39, 4 Pb 3.53, 4 Eu 3.77
Cd: 0.9567 0.9567 0.9133  4 Pb 3.25, 4 Eu 3.39

Summary:
As for the total DFT energy (no corrections): -15.8 eV per cell. Its crystal system is tetragonal.



The total magnetization results, record by record, are as follows: 0.00; 0.00; 7.07 μB/f.u..